Below is a relaxed structure of MgFeTc2O, with properties calculated at the PBE with a Hubbard U level.

Lattice parameters (Å, degrees): 4.1004 4.1004 4.2128 90.00 90.00 90.00
Closest atoms and distances in Å follow each position.
Fractional coordinates of all 5 atoms:
Mg (0.0000, 0.0000, 0.0000)  4 Fe 2.90, 8 Tc 2.94
Fe (0.5000, 0.5000, 0.0000)  2 O 2.11
Tc (0.0000, 0.5000, 0.5000)  2 O 2.05
Tc (0.5000, 0.0000, 0.5000)  2 O 2.05
O (0.5000, 0.5000, 0.5000)  4 Tc 2.05, 2 Fe 2.11

Properties
Calculated density (g/cm³): 6.85
N(E_F) (states/eV/atom): 1.380
Raw total energy (eV for the cell shown): -31.87